Entry 1:
Be2FeCo2Si2Ir after structural relaxation, computed with GGA-PBE.

- mass density (g/cm3) = 8.94
- spin magnetization (μB per atom) = 0.000
- calculated total energy (eV per atom) = -6.80

Cell: 3.8613 3.8613 5.4819 Å, 90.00 90.00 90.00°
With the nearest neighbours (Å) after each atom.
Atoms (fractional coordinates):
Be1 0.0000 0.5000 0.2355  2 Fe 2.32, 4 Co 2.32-2.41, 2 Ir 2.41, 1 Si 2.57
Be2 0.5000 0.0000 0.7645  2 Fe 2.32, 4 Co 2.32-2.41, 2 Ir 2.41, 1 Si 2.57
Co1 0.5000 0.5000 0.0000  4 Si 2.32, 4 Be 2.32
Co2 0.0000 0.0000 0.5000  4 Be 2.41, 4 Si 2.42
Fe1 0.0000 0.0000 0.0000  4 Si 2.32, 4 Be 2.32
Ir1 0.5000 0.5000 0.5000  4 Be 2.41, 4 Si 2.42
Si1 0.5000 0.0000 0.2330  2 Fe 2.32, 4 Co 2.32-2.42, 2 Ir 2.42, 1 Be 2.57
Si2 0.0000 0.5000 0.7670  4 Co 2.32-2.42, 2 Fe 2.32, 2 Ir 2.42, 1 Be 2.57



Entry 2:
DyGaSiPt2 after structural relaxation, computed with GGA-PBE.

- mass density (g/cm3) = 12.03
- spin magnetization (μB per atom) = 0.000
- calculated total energy (eV per atom) = -6.09

Cell: 4.1618 4.1618 10.3699 Å, 90.00 90.00 90.00°
With the nearest neighbours (Å) after each atom.
Atoms (fractional coordinates):
Dy1 0.0000 0.5000 0.2504  8 Pt 3.13-3.33, 4 Si 3.20, 4 Ga 3.32
Dy2 0.5000 0.0000 0.7496  8 Pt 3.13-3.33, 4 Si 3.20, 4 Ga 3.32
Ga1 0.0000 0.0000 0.5000  4 Pt 2.58
Ga2 0.5000 0.5000 0.5000  4 Pt 2.58
Pt1 0.0000 0.0000 0.0000  4 Si 2.47
Pt2 0.5000 0.5000 0.0000  4 Si 2.47
Pt3 0.5000 0.0000 0.3533  1 Si 2.33, 4 Ga 2.58
Pt4 0.0000 0.5000 0.6467  1 Si 2.33, 4 Ga 2.58
Si1 0.5000 0.0000 0.1289  5 Pt 2.33-2.47
Si2 0.0000 0.5000 0.8711  5 Pt 2.33-2.47



Entry 3:
Fe2Re after structural relaxation, computed with GGA-PBE.

- mass density (g/cm3) = 4.00
- formation energy from the elements (eV per atom) = 3.1727
- spin magnetization (μB per atom) = 1.592
- calculated total energy (eV per atom) = -6.51

Cell: 7.0483 7.0483 7.0483 Å, 60.00 60.00 60.00°
With the nearest neighbours (Å) after each atom.
Atoms (fractional coordinates):
Fe1 0.3750 0.3750 0.3750  2 Re 2.16
Fe2 0.8750 0.3750 0.3750  2 Re 2.16
Fe3 0.3750 0.8750 0.3750  2 Re 2.16
Fe4 0.3750 0.3750 0.8750  2 Re 2.16
Re1 0.2500 0.2500 0.2500  4 Fe 2.16
Re2 0.5000 0.5000 0.5000  4 Fe 2.16



Entry 4:
Ho3Ga4Cu2 after structural relaxation, computed with GGA-PBE.

- mass density (g/cm3) = 8.57
- spin magnetization (μB per atom) = 0.002
- calculated total energy (eV per atom) = -4.27

Cell: 5.6264 5.6264 8.3200 Å, 110.14 110.14 45.56°
With the nearest neighbours (Å) after each atom.
Atoms (fractional coordinates):
Cu1 0.4015 0.4015 0.2302  3 Ga 2.49
Cu2 0.5985 0.5985 0.7698  3 Ga 2.49
Ga1 0.9643 0.9643 0.1336  2 Cu 2.49, 1 Ga 2.59
Ga2 0.2681 0.2681 0.4243  1 Cu 2.49, 2 Ga 2.61
Ga3 0.7319 0.7319 0.5757  1 Cu 2.49, 2 Ga 2.61
Ga4 0.0357 0.0357 0.8664  2 Cu 2.49, 1 Ga 2.59
Ho1 0.6721 0.6721 0.1536  4 Cu 2.99-3.11, 8 Ga 3.02-3.33
Ho2 0.0000 0.0000 0.5000  8 Ga 2.93-3.13, 4 Cu 3.02
Ho3 0.3279 0.3279 0.8464  4 Cu 2.99-3.11, 8 Ga 3.02-3.33



Entry 5:
NaHfCuTeS2 after structural relaxation, computed with GGA-PBE.

- mass density (g/cm3) = 5.53
- spin magnetization (μB per atom) = 0.001
- calculated total energy (eV per atom) = -5.40

Cell: 7.7998 3.8214 9.6810 Å, 90.00 107.95 90.00°
With the nearest neighbours (Å) after each atom.
Atoms (fractional coordinates):
Cu1 0.4202 0.7500 0.4072  4 S 2.30-2.44
Cu2 0.5798 0.2500 0.5928  4 S 2.30-2.44
Hf1 0.2149 0.2500 0.1837  3 S 2.49-2.52
Hf2 0.7851 0.7500 0.8163  3 S 2.49-2.52
Na1 0.7404 0.2500 0.3195  4 S 2.94-3.13, 2 Te 3.16, 1 Cu 3.26
Na2 0.2596 0.7500 0.6805  4 S 2.94-3.13, 2 Te 3.16, 1 Cu 3.26
S1 0.4196 0.7500 0.1691  1 Cu 2.30, 2 Hf 2.52
S2 0.2619 0.2500 0.4499  3 Cu 2.38-2.44, 1 Hf 2.49
S3 0.7381 0.7500 0.5501  3 Cu 2.38-2.44, 1 Hf 2.49
S4 0.5804 0.2500 0.8309  1 Cu 2.30, 2 Hf 2.52
Te1 0.9176 0.7500 0.1422  3 Hf 2.94-3.00, 2 Na 3.16
Te2 0.0824 0.2500 0.8578  3 Hf 2.94-3.00, 2 Na 3.16



Entry 6:
PrNdSn2Pd4 after structural relaxation, computed with GGA-PBE.

- mass density (g/cm3) = 9.10
- spin magnetization (μB per atom) = 0.000
- calculated total energy (eV per atom) = -5.62

Cell: 4.6503 4.6503 9.2382 Å, 90.00 90.00 120.00°
With the nearest neighbours (Å) after each atom.
Atoms (fractional coordinates):
Nd1 0.0000 0.0000 0.0000  8 Pd 3.04-3.10
Pd1 0.3333 0.6667 0.1672  3 Sn 2.79, 4 Pd 3.07-3.09, 1 Pr 3.07, 3 Nd 3.10
Pd2 0.0000 0.0000 0.3292  3 Sn 2.79, 1 Nd 3.04, 3 Pd 3.07, 3 Pr 3.11
Pd3 0.0000 0.0000 0.6708  3 Sn 2.79, 1 Nd 3.04, 3 Pd 3.07, 3 Pr 3.11
Pd4 0.3333 0.6667 0.8328  3 Sn 2.79, 4 Pd 3.07-3.09, 1 Pr 3.07, 3 Nd 3.10
Pr1 0.3333 0.6667 0.5000  8 Pd 3.07-3.11
Sn1 0.6667 0.3333 0.2486  6 Pd 2.79
Sn2 0.6667 0.3333 0.7514  6 Pd 2.79



Entry 7:
LiMg2Pd after structural relaxation, computed with GGA-PBE.

- mass density (g/cm3) = 3.97
- calculated total energy (eV per atom) = -2.96

Cell: 3.3374 4.5037 4.5040 Å, 90.00 90.00 90.00°
With the nearest neighbours (Å) after each atom.
Atoms (fractional coordinates):
Li1 0.0000 0.0000 0.7483  8 Mg 2.80-2.81
Mg1 0.5000 0.0000 0.2493  4 Li 2.80-2.81, 4 Pd 2.80
Mg2 0.5000 0.5000 0.7511  4 Pd 2.80, 4 Li 2.80
Pd1 0.0000 0.5000 0.2513  8 Mg 2.80



Entry 8:
BeTc2B2 after structural relaxation, computed with GGA-PBE.

- mass density (g/cm3) = 7.90
- spin magnetization (μB per atom) = 0.000
- calculated total energy (eV per atom) = -8.07

Cell: 5.5974 5.5974 3.0394 Å, 90.00 90.00 90.00°
With the nearest neighbours (Å) after each atom.
Atoms (fractional coordinates):
B1 0.6170 0.1170 0.0000  1 B 1.85
B2 0.1170 0.3830 0.0000  1 B 1.85
B3 0.8830 0.6170 0.0000  1 B 1.85
B4 0.3830 0.8830 0.0000  1 B 1.85
Be1 0.0000 0.0000 0.0000  4 B 2.24
Be2 0.5000 0.5000 0.0000  4 B 2.24
Tc1 0.3232 0.1768 0.5000  6 B 2.23-2.26
Tc2 0.8232 0.3232 0.5000  6 B 2.23-2.26
Tc3 0.1768 0.6768 0.5000  6 B 2.23-2.26
Tc4 0.6768 0.8232 0.5000  6 B 2.23-2.26



Entry 9:
LaYIn2Pd4 after structural relaxation, computed with GGA-PBE.

- mass density (g/cm3) = 8.62
- spin magnetization (μB per atom) = 0.000
- calculated total energy (eV per atom) = -5.51

Cell: 4.6511 4.6511 9.0816 Å, 90.00 90.00 120.00°
With the nearest neighbours (Å) after each atom.
Atoms (fractional coordinates):
In1 0.6667 0.3333 0.2384  6 Pd 2.78-2.80
In2 0.6667 0.3333 0.7616  6 Pd 2.78-2.80
La1 0.0000 0.0000 0.5000  8 Pd 3.08-3.11
Pd1 0.0000 0.0000 0.1608  3 In 2.78, 4 Pd 2.92-3.08, 3 Y 3.06, 1 La 3.08
Pd2 0.3333 0.6667 0.3267  3 In 2.80, 1 Y 2.97, 3 Pd 3.08, 3 La 3.11
Pd3 0.3333 0.6667 0.6733  3 In 2.80, 1 Y 2.97, 3 Pd 3.08, 3 La 3.11
Pd4 0.0000 0.0000 0.8392  3 In 2.78, 4 Pd 2.92-3.08, 3 Y 3.06, 1 La 3.08
Y1 0.3333 0.6667 0.0000  8 Pd 2.97-3.06



Entry 10:
Lu4Al5Ni2 after structural relaxation, computed with GGA-PBE.

- mass density (g/cm3) = 7.29
- spin magnetization (μB per atom) = 0.001
- calculated total energy (eV per atom) = -4.80

Cell: 7.0504 3.3976 9.0734 Å, 90.00 93.60 90.00°
With the nearest neighbours (Å) after each atom.
Atoms (fractional coordinates):
Al1 0.5000 0.0000 0.0000  4 Al 2.69-2.77
Al2 0.1943 0.0000 0.1623  1 Ni 2.64, 2 Al 2.69-2.79
Al3 0.5566 0.0000 0.3051  1 Ni 2.68, 2 Al 2.77-2.79
Al4 0.4434 0.0000 0.6949  1 Ni 2.68, 2 Al 2.77-2.79
Al5 0.8057 0.0000 0.8377  1 Ni 2.64, 2 Al 2.69-2.79
Lu1 0.8357 0.5000 0.1352  2 Ni 2.72
Lu2 0.2361 0.5000 0.4486  4 Ni 2.76-2.80
Lu3 0.7639 0.5000 0.5514  4 Ni 2.76-2.80
Lu4 0.1643 0.5000 0.8648  2 Ni 2.72
Ni1 0.9352 0.0000 0.3605  1 Ni 2.64, 2 Al 2.64-2.68, 6 Lu 2.72-2.80
Ni2 0.0648 0.0000 0.6395  1 Ni 2.64, 2 Al 2.64-2.68, 6 Lu 2.72-2.80



Entry 11:
Ho2ErAl2Zn3Cd after structural relaxation, computed with GGA-PBE.

- mass density (g/cm3) = 7.60
- spin magnetization (μB per atom) = 0.000
- calculated total energy (eV per atom) = -3.26

Cell: 4.4663 6.9631 6.9631 Å, 119.87 90.00 90.00°
With the nearest neighbours (Å) after each atom.
Atoms (fractional coordinates):
Al1 0.5000 0.6660 0.3333  3 Zn 2.67
Al2 0.5000 0.3333 0.6660  3 Zn 2.67
Cd1 0.0000 0.0013 0.0013  6 Zn 2.82-2.83, 1 Er 3.02, 2 Ho 3.03
Er1 0.0000 0.4344 0.4344  1 Cd 3.02, 4 Al 3.04, 2 Zn 3.15
Ho1 0.0000 0.9995 0.5656  1 Cd 3.03, 4 Al 3.04, 2 Zn 3.15
Ho2 0.0000 0.5656 0.9995  1 Cd 3.03, 4 Al 3.04, 2 Zn 3.15
Zn1 0.5000 0.2474 0.0000  2 Al 2.67, 2 Cd 2.82, 2 Zn 2.98-2.99
Zn2 0.5000 0.0000 0.2474  2 Al 2.67, 2 Cd 2.82, 2 Zn 2.98-2.99
Zn3 0.5000 0.7526 0.7526  2 Al 2.67, 2 Cd 2.83, 2 Zn 2.99



Entry 12:
CsCu2AuS2 after structural relaxation, computed with GGA-PBE.

- mass density (g/cm3) = 5.13
- calculated total energy (eV per atom) = -3.84

Cell: 5.8350 5.8350 5.9426 Å, 90.13 90.13 56.46°
With the nearest neighbours (Å) after each atom.
Atoms (fractional coordinates):
Au1 0.5000 0.5000 0.0000  2 S 2.36
Cs1 0.0000 0.0000 0.5000  6 S 3.61-3.64
Cu1 0.5000 0.0000 0.0000  2 S 2.17
Cu2 0.0000 0.5000 0.0000  2 S 2.17
S1 0.3235 0.3235 0.2525  2 Cu 2.17, 1 Au 2.36
S2 0.6765 0.6765 0.7475  2 Cu 2.17, 1 Au 2.36



- What is the calculated total energy in the fourth record?
  -4.27 eV per atom



- calculated total energy of number 2 (DyGaSiPt2)?
  -6.09 eV per atom